# LaTbMg PBE relaxed
# Final energy = -22.6 eV/cell
# DFT formation energy = -0.04 eV/atom
# Density of states at the Fermi level = 1.31 states/eV per atom
data_LaTbMg
_chemical_formula_sum 'La2 Tb2 Mg2'
_cell_length_a 3.799
_cell_length_b 3.799
_cell_length_c 13.023
_cell_angle_alpha 90.00
_cell_angle_beta 90.00
_cell_angle_gamma 90.00
_symmetry_space_group_name_H-M 'I 4 m m'
_symmetry_Int_Tables_number 107
_symmetry_space_group_name_Hall 'I 4 -2'
loop_
_atom_site_label
_atom_site_type_symbol
_atom_site_fract_x
_atom_site_fract_y
_atom_site_fract_z
_atom_site_occupancy
La1 La 0.000 0.000 0.000 1
Tb1 Tb 0.000 0.000 0.313 1
Mg1 Mg 0.000 0.000 0.666 1